Compound: In3C
Source: Alexandria
Functional: GGA-PBE
Structure: relaxed

```
data_In3C
_symmetry_space_group_name_H-M 'P -4 m 2'
_symmetry_Int_Tables_number 115
_symmetry_space_group_name_Hall 'P -4 -2'
_cell_length_a 3.720
_cell_length_b 3.720
_cell_length_c 7.136
_cell_angle_alpha 90.00
_cell_angle_beta 90.00
_cell_angle_gamma 90.00
loop_
_atom_site_label
_atom_site_fract_x
_atom_site_fract_y
_atom_site_fract_z
_atom_site_occupancy
In1 0.000 0.000 0.000 1
In2 0.000 0.500 0.663 1
C1 0.500 0.500 0.500 1
```

Values from the calculation:
Crystal system: tetragonal
Uncorrected energy in eV per atom: -3.68
Energy relative to the elements in kcal/mol of atoms: 15.607